Entry 1:
VASP calculation (PBE-GGA) on a relaxed HoEr2In2Hg2 crystal.

a = 9.1881 Å, b = 9.1881 Å, c = 9.1881 Å
α = 31.14°, β = 31.14°, γ = 31.14°
Closest atoms and distances in Å follow each position.
Fractional positions:
Ho (0.0000, 0.0000, 0.0000)  6 In 3.31, 2 Er 3.44
Er (0.1314, 0.1314, 0.1314)  3 Hg 3.00, 3 In 3.35
Er (0.8686, 0.8686, 0.8686)  3 Hg 3.00, 3 In 3.35
In (0.2693, 0.2693, 0.2693)  3 Hg 2.97, 3 Ho 3.31
In (0.7307, 0.7307, 0.7307)  3 Hg 2.97, 3 Ho 3.31
Hg (0.4292, 0.4292, 0.4292)  3 In 2.97, 3 Er 3.00
Hg (0.5708, 0.5708, 0.5708)  3 In 2.97, 3 Er 3.00

Results
**Total magnetization**: 0.000 μB/f.u.
**Formation enthalpy at 0 K**: -0.2423 eV per atom



Entry 2:
VASP calculation (PBE-GGA) on a relaxed FePd6Au3 crystal.

a = 7.4842 Å, b = 4.6489 Å, c = 9.9088 Å
α = 90.00°, β = 111.76°, γ = 90.00°
Closest atoms and distances in Å follow each position.
Fractional positions:
Fe (0.1213, 0.2500, 0.0800)  8 Pd 2.61-2.73, 1 Au 2.91
Fe (0.8787, 0.7500, 0.9200)  8 Pd 2.61-2.73, 1 Au 2.91
Pd (0.0795, 0.7500, 0.2092)  3 Fe 2.70-2.73, 5 Pd 2.70-2.99, 4 Au 2.79-2.92
Pd (0.1107, 0.2500, 0.5728)  7 Au 2.79-2.84, 5 Pd 2.80-2.99
Pd (0.2679, 0.7500, 0.0238)  4 Pd 2.70-2.93, 3 Fe 2.71, 4 Au 2.74-2.87
Pd (0.3014, 0.2500, 0.3631)  1 Fe 2.62, 4 Au 2.74-2.82, 7 Pd 2.80-2.93
Pd (0.4869, 0.7500, 0.3257)  8 Pd 2.80-2.90, 4 Au 2.82-2.92
Pd (0.4963, 0.2500, 0.1707)  1 Fe 2.61, 5 Au 2.74-2.87, 3 Pd 2.80
Pd (0.5037, 0.7500, 0.8293)  1 Fe 2.61, 5 Au 2.74-2.87, 3 Pd 2.80
Pd (0.5131, 0.2500, 0.6743)  8 Pd 2.80-2.90, 4 Au 2.82-2.92
Pd (0.6986, 0.7500, 0.6369)  1 Fe 2.62, 4 Au 2.74-2.82, 7 Pd 2.80-2.93
Pd (0.7321, 0.2500, 0.9762)  4 Pd 2.70-2.93, 3 Fe 2.71, 4 Au 2.74-2.87
Pd (0.8893, 0.7500, 0.4272)  7 Au 2.79-2.84, 5 Pd 2.80-2.99
Pd (0.9205, 0.2500, 0.7908)  3 Fe 2.70-2.73, 5 Pd 2.70-2.99, 4 Au 2.79-2.92
Au (0.0918, 0.7500, 0.7269)  8 Pd 2.74-2.87, 1 Fe 2.91, 3 Au 2.93-2.94
Au (0.2945, 0.7500, 0.5229)  11 Pd 2.81-2.92, 1 Au 2.94
Au (0.3198, 0.2500, 0.8745)  9 Pd 2.74-2.87, 1 Fe 2.93, 2 Au 2.93
Au (0.6802, 0.7500, 0.1255)  9 Pd 2.74-2.87, 1 Fe 2.93, 2 Au 2.93
Au (0.7055, 0.2500, 0.4771)  11 Pd 2.81-2.92, 1 Au 2.94
Au (0.9082, 0.2500, 0.2731)  8 Pd 2.74-2.87, 1 Fe 2.91, 3 Au 2.93-2.94

Results
**Offset from the most stable computed form**: 0.000 eV per atom
**Total magnetization**: 4.451 μB/f.u.
**Formation enthalpy at 0 K**: -0.0537 eV per atom



Q: The lowest formation enthalpy at 0 K belongs to which entry?
A: HoEr2In2Hg2



Q: The highest total magnetization belongs to which entry?
A: FePd6Au3